[1]
# CaPmSmCd PBE optimized geometry
# crystal system	cubic
# calculated volume	31.45	Å³ per atom
# ΔE_f	36.7	meV per atom
# energy above the lowest structure with this stoichiometry	178	meV/atom
# theoretical density	5.912	g cm⁻³
data_CaPmSmCd
_symmetry_space_group_name_H-M 'P 1'
_symmetry_Int_Tables_number 1
_cell_length_a 5.624
_cell_length_b 5.624
_cell_length_c 5.624
_cell_angle_alpha 60.00
_cell_angle_beta 60.00
_cell_angle_gamma 60.00
loop_
_symmetry_equiv_pos_as_xyz
'x,y,z'
loop_
_atom_site_label
_atom_site_fract_x
_atom_site_fract_y
_atom_site_fract_z
Ca1 0.000 0.000 0.000
Pm1 0.250 0.250 0.250
Sm1 0.500 0.500 0.500
Cd1 0.750 0.750 0.750

[2]
# CaPmSmCd PBE optimized geometry
# crystal system	tetragonal
# calculated volume	32.14	Å³ per atom
# ΔE_f	-140.8	meV per atom
# energy above the lowest structure with this stoichiometry	0	meV/atom
# theoretical density	5.784	g cm⁻³
data_CaPmSmCd
_symmetry_space_group_name_H-M 'P 1'
_symmetry_Int_Tables_number 1
_cell_length_a 3.668
_cell_length_b 3.668
_cell_length_c 9.556
_cell_angle_alpha 90.00
_cell_angle_beta 90.00
_cell_angle_gamma 90.00
loop_
_symmetry_equiv_pos_as_xyz
'x,y,z'
loop_
_atom_site_label
_atom_site_fract_x
_atom_site_fract_y
_atom_site_fract_z
Ca1 0.000 0.000 0.000
Pm1 0.500 0.500 0.305
Sm1 0.000 0.000 0.566
Cd1 0.500 0.500 0.781

[3]
# CaPmCdSn PBE optimized geometry
# crystal system	cubic
# calculated volume	28.07	Å³ per atom
# ΔE_f	-516.9	meV per atom
# theoretical density	6.155	g cm⁻³
data_CaPmCdSn
_symmetry_space_group_name_H-M 'P 1'
_symmetry_Int_Tables_number 1
_cell_length_a 5.415
_cell_length_b 5.415
_cell_length_c 5.415
_cell_angle_alpha 60.00
_cell_angle_beta 60.00
_cell_angle_gamma 60.00
loop_
_symmetry_equiv_pos_as_xyz
'x,y,z'
loop_
_atom_site_label
_atom_site_fract_x
_atom_site_fract_y
_atom_site_fract_z
Ca1 0.000 0.000 0.000
Pm1 0.500 0.500 0.500
Cd1 0.750 0.750 0.750
Sn1 0.250 0.250 0.250

[4]
# CaTbPmCd PBE optimized geometry
# crystal system	cubic
# calculated volume	30.88	Å³ per atom
# ΔE_f	43.3	meV per atom
# energy above the lowest structure with this stoichiometry	184	meV/atom
# theoretical density	6.136	g cm⁻³
data_CaTbPmCd
_symmetry_space_group_name_H-M 'P 1'
_symmetry_Int_Tables_number 1
_cell_length_a 5.590
_cell_length_b 5.590
_cell_length_c 5.590
_cell_angle_alpha 60.00
_cell_angle_beta 60.00
_cell_angle_gamma 60.00
loop_
_symmetry_equiv_pos_as_xyz
'x,y,z'
loop_
_atom_site_label
_atom_site_fract_x
_atom_site_fract_y
_atom_site_fract_z
Ca1 0.000 0.000 0.000
Tb1 0.500 0.500 0.500
Pm1 0.250 0.250 0.250
Cd1 0.750 0.750 0.750

[5]
# CaTbPmCd PBE optimized geometry
# crystal system	tetragonal
# calculated volume	31.54	Å³ per atom
# ΔE_f	-141.1	meV per atom
# energy above the lowest structure with this stoichiometry	0	meV/atom
# theoretical density	6.007	g cm⁻³
data_CaTbPmCd
_symmetry_space_group_name_H-M 'P 1'
_symmetry_Int_Tables_number 1
_cell_length_a 3.644
_cell_length_b 3.644
_cell_length_c 9.504
_cell_angle_alpha 90.00
_cell_angle_beta 90.00
_cell_angle_gamma 90.00
loop_
_symmetry_equiv_pos_as_xyz
'x,y,z'
loop_
_atom_site_label
_atom_site_fract_x
_atom_site_fract_y
_atom_site_fract_z
Ca1 0.000 0.000 0.000
Tb1 0.000 0.000 0.568
Pm1 0.500 0.500 0.308
Cd1 0.500 0.500 0.777

[6]
# CaPmYCd PBE optimized geometry
# crystal system	tetragonal
# calculated volume	31.57	Å³ per atom
# ΔE_f	-144.2	meV per atom
# energy above the lowest structure with this stoichiometry	0	meV/atom
# theoretical density	5.081	g cm⁻³
data_CaPmYCd
_symmetry_space_group_name_H-M 'P 1'
_symmetry_Int_Tables_number 1
_cell_length_a 3.643
_cell_length_b 3.643
_cell_length_c 9.513
_cell_angle_alpha 90.00
_cell_angle_beta 90.00
_cell_angle_gamma 90.00
loop_
_symmetry_equiv_pos_as_xyz
'x,y,z'
loop_
_atom_site_label
_atom_site_fract_x
_atom_site_fract_y
_atom_site_fract_z
Ca1 0.000 0.000 0.000
Pm1 0.500 0.500 0.308
Y1 0.000 0.000 0.570
Cd1 0.500 0.500 0.778

[7]
# CaPmYCd PBE optimized geometry
# crystal system	cubic
# calculated volume	30.48	Å³ per atom
# ΔE_f	-35.6	meV per atom
# energy above the lowest structure with this stoichiometry	109	meV/atom
# theoretical density	5.262	g cm⁻³
data_CaPmYCd
_symmetry_space_group_name_H-M 'P 1'
_symmetry_Int_Tables_number 1
_cell_length_a 5.566
_cell_length_b 5.566
_cell_length_c 5.566
_cell_angle_alpha 60.00
_cell_angle_beta 60.00
_cell_angle_gamma 60.00
loop_
_symmetry_equiv_pos_as_xyz
'x,y,z'
loop_
_atom_site_label
_atom_site_fract_x
_atom_site_fract_y
_atom_site_fract_z
Ca1 0.000 0.000 0.000
Pm1 0.750 0.750 0.750
Y1 0.250 0.250 0.250
Cd1 0.500 0.500 0.500

[8]
# CaPr6Cd2 PBE optimized geometry
# crystal system	monoclinic
# calculated volume	33.37	Å³ per atom
# ΔE_f	-139.3	meV per atom
# theoretical density	6.139	g cm⁻³
data_CaPr6Cd2
_symmetry_space_group_name_H-M 'P 1'
_symmetry_Int_Tables_number 1
_cell_length_a 6.945
_cell_length_b 6.945
_cell_length_c 12.449
_cell_angle_alpha 108.42
_cell_angle_beta 108.42
_cell_angle_gamma 31.97
loop_
_symmetry_equiv_pos_as_xyz
'x,y,z'
loop_
_atom_site_label
_atom_site_fract_x
_atom_site_fract_y
_atom_site_fract_z
Ca1 0.000 0.000 0.000
Pr1 0.017 0.017 0.339
Pr2 0.309 0.309 0.127
Pr3 0.309 0.309 0.411
Pr4 0.691 0.691 0.589
Pr5 0.691 0.691 0.873
Pr6 0.983 0.983 0.661
Cd1 0.360 0.360 0.796
Cd2 0.640 0.640 0.204

no.,DOS(E_F) (states/eV/atom)
1,1.187
2,1.223
3,0.905
4,0.864
5,1.333
6,1.442
7,1.278
8,0.999